Record 1
## CrNiSb2Te (SCAN)

Data for a PBEsol-optimized structure of CrNiSb2Te.

Unit cell a=4.8201 b=4.8201 c=5.1866 alpha=90.00 beta=90.00 gamma=90.00
Last column: nearest neighbours and their distance in Å.
Space group P4/mmm (No. 123)
Symmetry-distinct sites (fractional):
1 Cr 0.0000 0.0000 0.0000  4 Te 3.41, 8 Sb 3.54
2 Ni 0.5000 0.5000 0.5000  4 Sb 2.41, 2 Te 2.59
3 Sb 0.0000 0.5000 0.5000  2 Ni 2.41
4 Te 0.5000 0.5000 0.0000  2 Ni 2.59

Computed properties:
As for the density of states at the Fermi level: 3.6 states/eV/cell. As for the raw formation energy: 0.45 eV per atom.

Record 2
## KNa3Mn (SCAN)

Data for a PBEsol-optimized structure of KNa3Mn.

Unit cell a=5.9602 b=5.9602 c=5.9602 alpha=90.00 beta=90.00 gamma=90.00
Last column: nearest neighbours and their distance in Å.
Space group Pm-3m (No. 221)
Symmetry-distinct sites (fractional):
1 K 0.0000 0.0000 0.0000  12 Na 4.21
2 Na 0.0000 0.5000 0.5000  2 Mn 2.98
3 Mn 0.5000 0.5000 0.5000  6 Na 2.98

Computed properties:
As for the density of states at the Fermi level: 3.1 states/eV/cell. As for the formation enthalpy at 0 K: 382 meV per atom.

Record 3
## SrTl2N (SCAN)

Data for a PBEsol-optimized structure of SrTl2N.

Unit cell a=7.1874 b=7.1874 c=7.1874 alpha=90.00 beta=90.00 gamma=90.00
Last column: nearest neighbours and their distance in Å.
Space group Fm-3m (No. 225)
Symmetry-distinct sites (fractional):
1 Sr 0.0000 0.0000 0.0000  8 Tl 3.11
2 Tl 0.2500 0.2500 0.2500  4 Sr 3.11, 4 N 3.11
3 N 0.0000 0.0000 0.5000  8 Tl 3.11

Computed properties:
As for the density of states at the Fermi level: 7.2 states/eV/cell. As for the raw formation energy: 0.72 eV per atom.

Record 4
## SrIn2Os (SCAN)

Data for a PBEsol-optimized structure of SrIn2Os.

Unit cell a=4.5263 b=4.5263 c=16.9748 alpha=90.00 beta=90.00 gamma=120.00
Last column: nearest neighbours and their distance in Å.
Space group R-3m (No. 166, hexagonal axes)
Symmetry-distinct sites (fractional):
1 Sr 0.0000 0.0000 0.0000  8 In 3.33-3.59
2 In 0.0000 0.0000 0.2115  3 Os 2.72, 3 In 3.02
3 Os 0.0000 0.0000 0.5000  6 In 2.72

Computed properties:
As for the density of states at the Fermi level: 6.0 states/eV/cell. As for the formation enthalpy at 0 K: 16 meV per atom.

Copy entry 4 word for word.
## SrIn2Os (SCAN)

Data for a PBEsol-optimized structure of SrIn2Os.

Unit cell a=4.5263 b=4.5263 c=16.9748 alpha=90.00 beta=90.00 gamma=120.00
Last column: nearest neighbours and their distance in Å.
Space group R-3m (No. 166, hexagonal axes)
Symmetry-distinct sites (fractional):
1 Sr 0.0000 0.0000 0.0000  8 In 3.33-3.59
2 In 0.0000 0.0000 0.2115  3 Os 2.72, 3 In 3.02
3 Os 0.0000 0.0000 0.5000  6 In 2.72

Computed properties:
As for the density of states at the Fermi level: 6.0 states/eV/cell. As for the formation enthalpy at 0 K: 16 meV per atom.